Record 1
Below is FeCo2Rh at its PBEsol-relaxed geometry, with properties calculated at the meta-GGA SCAN level.

- energy of formation (meV/atom) = 20

abc: 2.5133 2.5133 8.1270
angles: 90.00 90.00 113.75
With the nearest neighbours (Å) after each atom.
Sites, in units of the cell vectors:
Co 0.0000 0.0000 0.2626  2 Fe 2.37, 4 Co 2.51, 2 Rh 2.54
Co 0.0000 0.0000 0.7374  2 Fe 2.37, 4 Co 2.51, 2 Rh 2.54
Fe 0.5000 0.5000 0.5000  4 Co 2.37, 4 Fe 2.51
Rh 0.5000 0.5000 0.0000  6 Rh 2.51-2.75, 4 Co 2.54

Record 2
Below is Fe2CoRh at its PBEsol-relaxed geometry, with properties calculated at the meta-GGA SCAN level.

- energy of formation (meV/atom) = -144

abc: 2.8392 4.1356 4.7610
angles: 115.74 107.35 90.00
With the nearest neighbours (Å) after each atom.
Sites, in units of the cell vectors:
Fe 0.2592 0.2592 0.5184  2 Co 2.41, 4 Fe 2.51, 2 Rh 2.53
Fe 0.7408 0.7408 0.4816  2 Co 2.41, 4 Fe 2.51, 2 Rh 2.53
Rh 0.5000 0.0000 0.0000  4 Co 2.51, 4 Fe 2.53
Co 0.0000 0.5000 0.0000  4 Fe 2.41, 4 Rh 2.51

Record 3
Below is Fe2CoRh at its PBEsol-relaxed geometry, with properties calculated at the meta-GGA SCAN level.

- energy of formation (meV/atom) = -22

abc: 2.5798 2.5798 8.2463
angles: 81.00 81.00 60.00
With the nearest neighbours (Å) after each atom.
Sites, in units of the cell vectors:
Fe 0.7464 0.7464 0.7607  3 Co 2.45, 6 Fe 2.58, 3 Rh 2.59
Fe 0.2536 0.2536 0.2393  3 Co 2.45, 6 Fe 2.58, 3 Rh 2.59
Rh 0.5000 0.5000 0.5000  6 Rh 2.58, 6 Fe 2.59
Co 0.0000 0.0000 0.0000  6 Fe 2.45, 6 Co 2.58

Record 4
Below is Fe2CoRh at its PBEsol-relaxed geometry, with properties calculated at the meta-GGA SCAN level.

- energy of formation (meV/atom) = -185

abc: 2.8510 4.0849 4.7815
angles: 115.29 107.35 90.00
With the nearest neighbours (Å) after each atom.
Sites, in units of the cell vectors:
Fe 0.7413 0.2413 0.4826  2 Fe 2.44, 4 Co 2.50, 2 Rh 2.54
Fe 0.9994 0.9994 0.9988  2 Co 2.41, 2 Fe 2.44, 4 Rh 2.49
Rh 0.4982 0.4982 0.9964  6 Fe 2.49-2.54, 2 Co 2.58
Co 0.2611 0.7611 0.5222  6 Fe 2.41-2.50, 2 Rh 2.58

Record 5
Below is FeCo2Rh at its PBEsol-relaxed geometry, with properties calculated at the meta-GGA SCAN level.

- energy of formation (meV/atom) = -106

abc: 2.8231 4.0905 4.7515
angles: 115.50 107.28 90.00
With the nearest neighbours (Å) after each atom.
Sites, in units of the cell vectors:
Co 0.7645 0.7645 0.5290  2 Fe 2.37, 4 Co 2.50, 2 Rh 2.57
Co 0.2355 0.2355 0.4710  2 Fe 2.37, 4 Co 2.50, 2 Rh 2.57
Fe 0.5000 0.0000 0.0000  4 Co 2.37, 4 Rh 2.49
Rh 0.0000 0.5000 0.0000  4 Fe 2.49, 4 Co 2.57

Record 6
Below is FeCoRh4S8 at its PBEsol-relaxed geometry, with properties calculated at the meta-GGA SCAN level.

- formation energy from raw total energies (eV/f.u.) = -7.5

abc: 6.7142 6.7142 6.7142
angles: 60.00 60.00 60.00
With the nearest neighbours (Å) after each atom.
Sites, in units of the cell vectors:
Rh 0.1299 0.6234 0.6234  6 S 2.35-2.36
Rh 0.6234 0.6234 0.1299  6 S 2.35-2.36
Rh 0.6234 0.1299 0.6234  6 S 2.35-2.36
Rh 0.6234 0.6234 0.6234  6 S 2.35-2.36
S 0.3756 0.8733 0.3756  1 Fe 2.07
S 0.3756 0.3756 0.3756  1 Fe 2.07
S 0.3756 0.3756 0.8733  1 Fe 2.07
S 0.3833 0.8722 0.8722  1 Co 2.10
S 0.8722 0.8722 0.3833  1 Co 2.10
S 0.8722 0.3833 0.8722  1 Co 2.10
S 0.8733 0.3756 0.3756  1 Fe 2.07
S 0.8722 0.8722 0.8722  1 Co 2.10
Co 0.0000 0.0000 0.0000  4 S 2.10
Fe 0.2500 0.2500 0.2500  4 S 2.07

Record 7
Below is FeCo3Ru at its PBEsol-relaxed geometry, with properties calculated at the meta-GGA SCAN level.

- energy of formation (meV/atom) = 1306

abc: 4.0926 4.0926 4.0926
angles: 90.00 90.00 90.00
With the nearest neighbours (Å) after each atom.
Sites, in units of the cell vectors:
Co 0.0000 0.0000 0.5000  2 Fe 2.05
Co 0.0000 0.5000 0.0000  2 Fe 2.05
Co 0.5000 0.0000 0.0000  2 Fe 2.05
Ru 0.5000 0.5000 0.5000  12 Co 2.89
Fe 0.0000 0.0000 0.0000  6 Co 2.05

Record 8
Below is FeCo2Ru2 at its PBEsol-relaxed geometry, with properties calculated at the meta-GGA SCAN level.

- energy of formation (meV/atom) = 485

abc: 3.1282 3.1282 6.7424
angles: 103.41 103.41 90.00
With the nearest neighbours (Å) after each atom.
Sites, in units of the cell vectors:
Fe 0.0000 0.0000 0.0000  8 Ru 2.56
Co 0.7500 0.2500 0.5000  4 Co 2.21, 4 Ru 2.46
Co 0.2500 0.7500 0.5000  4 Co 2.21, 4 Ru 2.46
Ru 0.6012 0.6012 0.2024  4 Co 2.46, 4 Fe 2.56, 1 Ru 2.58
Ru 0.3988 0.3988 0.7976  4 Co 2.46, 4 Fe 2.56, 1 Ru 2.58

Record 9
Below is FeCo3S8 at its PBEsol-relaxed geometry, with properties calculated at the meta-GGA SCAN level.

- formation energy from raw total energies (eV/f.u.) = -5.6

abc: 5.3710 5.3710 5.3710
angles: 89.98 89.98 89.98
With the nearest neighbours (Å) after each atom.
Sites, in units of the cell vectors:
S 0.8826 0.6227 0.1167  1 Fe 2.21, 1 S 2.21, 2 Co 2.25
S 0.1174 0.3773 0.8833  1 Fe 2.21, 1 S 2.21, 2 Co 2.25
S 0.3825 0.3825 0.3825  1 S 2.19, 3 Co 2.24
S 0.1167 0.8826 0.6227  1 Fe 2.21, 1 S 2.21, 2 Co 2.25
S 0.8833 0.1174 0.3773  1 Fe 2.21, 1 S 2.21, 2 Co 2.25
S 0.3773 0.8833 0.1174  1 Fe 2.21, 1 S 2.21, 2 Co 2.25
S 0.6227 0.1167 0.8826  1 Fe 2.21, 1 S 2.21, 2 Co 2.25
S 0.6175 0.6175 0.6175  1 S 2.19, 3 Co 2.24
Co 0.5000 0.0000 0.5000  6 S 2.24-2.25
Co 0.5000 0.5000 0.0000  6 S 2.24-2.25
Co 0.0000 0.5000 0.5000  6 S 2.24-2.25
Fe 0.0000 0.0000 0.0000  6 S 2.21

Record 10
Below is FeCoS3 at its PBEsol-relaxed geometry, with properties calculated at the meta-GGA SCAN level.

- formation energy from raw total energies (eV/f.u.) = 2.9

abc: 4.3278 4.3278 4.3278
angles: 90.00 90.00 90.00
With the nearest neighbours (Å) after each atom.
Sites, in units of the cell vectors:
S 0.5000 0.0000 0.0000  2 Co 2.16
S 0.0000 0.0000 0.5000  2 Co 2.16
S 0.0000 0.5000 0.0000  2 Co 2.16
Co 0.0000 0.0000 0.0000  6 S 2.16
Fe 0.5000 0.5000 0.5000  12 S 3.06

Record 11
Below is FeCoSnS2 at its PBEsol-relaxed geometry, with properties calculated at the meta-GGA SCAN level.

- formation energy from raw total energies (eV/f.u.) = 3.1

abc: 4.2112 4.2112 5.1926
angles: 90.00 90.00 90.00
With the nearest neighbours (Å) after each atom.
Sites, in units of the cell vectors:
Co 0.0000 0.0000 0.0000  4 S 2.11
Fe 0.5000 0.5000 0.5000  4 Sn 2.98
S 0.0000 0.5000 0.0000  2 Co 2.11
S 0.5000 0.0000 0.0000  2 Co 2.11
Sn 0.0000 0.0000 0.5000  2 Co 2.60

Record 12
Below is Ti4FeCoS8 at its PBEsol-relaxed geometry, with properties calculated at the meta-GGA SCAN level.

- formation energy from raw total energies (eV/f.u.) = -17.9

abc: 5.6857 6.3516 6.6322
angles: 74.85 89.98 64.05
With the nearest neighbours (Å) after each atom.
Sites, in units of the cell vectors:
Ti 0.2645 0.9877 0.6269  6 S 2.38-2.47
Ti 0.7350 0.0129 0.8701  6 S 2.38-2.46
Ti 0.2650 0.9871 0.1299  6 S 2.38-2.46
Ti 0.7355 0.0123 0.3731  6 S 2.38-2.47
Co 0.0000 0.5000 0.5000  6 S 2.26-2.28
S 0.5572 0.7210 0.9447  1 Fe 2.25, 3 Ti 2.40-2.42
S 0.0442 0.7324 0.6938  1 Fe 2.26, 1 Co 2.28, 3 Ti 2.41-2.46
S 0.9558 0.2676 0.3062  1 Fe 2.26, 1 Co 2.28, 3 Ti 2.41-2.46
S 0.9563 0.2679 0.8100  1 Fe 2.26, 1 Co 2.28, 3 Ti 2.41-2.47
S 0.4428 0.2790 0.0553  1 Fe 2.25, 3 Ti 2.40-2.42
S 0.4433 0.2779 0.5554  1 Co 2.26, 3 Ti 2.38-2.42
S 0.5567 0.7221 0.4446  1 Co 2.26, 3 Ti 2.38-2.42
S 0.0437 0.7321 0.1900  1 Fe 2.26, 1 Co 2.28, 3 Ti 2.41-2.47
Fe 0.0000 0.5000 0.0000  6 S 2.25-2.26